Density functional theory data (GGA-PBE) for a geometry-optimized NdPuI4 structure.

The structure belongs to space group C2/m (No. 12); the cell edges are 16.236, 4.285 and 7.508 Å and the angles 90.00°, 100.93° and 90.00°. The inequivalent atoms are Nd at (0.000, 0.000, 0.000), Pu at (0.000, 0.500, 0.500), I at (0.124, 0.000, 0.383) and I at (0.125, 0.500, 0.882).

As for the energy relative to the lowest polymorph listed for this composition: 0 meV/atom. For the uncorrected formation energy, the calculation gives -1173.8 meV per atom.

---

Density functional theory data (GGA-PBE) for a geometry-optimized NdPuI5 structure.

The structure belongs to space group P2_1/m (No. 11); the cell edges are 9.349, 4.334 and 15.069 Å and the angles 90.00°, 94.72° and 90.00°. The inequivalent atoms are Nd at (0.083, 0.250, 0.157), Pu at (0.406, 0.750, 0.360), I at (0.137, 0.250, 0.790), I at (0.150, 0.250, 0.370), I at (0.181, 0.750, 0.017), I at (0.355, 0.750, 0.571) and I at (0.426, 0.250, 0.197).

For the uncorrected formation energy, the calculation gives -1256.0 meV per atom.

---

Density functional theory data (GGA-PBE) for a geometry-optimized NdPuI4 structure.

The structure belongs to space group I-4m2 (No. 119); the cell edges are 6.321, 6.321 and 12.354 Å and the angles 90.00°, 90.00° and 90.00°. The inequivalent atoms are Nd at (0.000, 0.000, 0.000), Pu at (0.000, 0.500, 0.750), I at (0.000, 0.000, 0.258) and I at (0.000, 0.500, 0.008).

As for the energy relative to the lowest polymorph listed for this composition: 80 meV/atom. For the uncorrected formation energy, the calculation gives -1093.8 meV per atom.

---

Density functional theory data (GGA-PBE) for a geometry-optimized NdPuI2 structure.

The structure belongs to space group R-3m (No. 166, hexagonal axes); the cell edges are 3.8976, 3.8976 and 33.1973 Å and the angles 90.00°, 90.00° and 120.00°. The inequivalent atoms are Nd at (0.0000, 0.0000, 0.0000), Pu at (0.0000, 0.0000, 0.5000) and I at (0.0000, 0.0000, 0.4026).

For the uncorrected formation energy, the calculation gives -591.4 meV per atom.